# YAl2NiF, relaxed, DFT PBE+U
data_YAl2NiF
_chemical_formula_sum 'Y1 Al2 Ni1 F1'
_symmetry_space_group_name_H-M 'P 1'
_symmetry_Int_Tables_number 1
_symmetry_space_group_name_Hall 'P 1'
_cell_length_a 4.2699
_cell_length_b 4.2699
_cell_length_c 5.2529
_cell_angle_alpha 90.00
_cell_angle_beta 90.00
_cell_angle_gamma 90.00
loop_
_atom_site_label
_atom_site_fract_x
_atom_site_fract_y
_atom_site_fract_z
Y1 0.0000 0.0000 0.0000
Al1 0.0000 0.5000 0.5000
Al2 0.5000 0.0000 0.5000
Ni1 0.5000 0.5000 0.5000
F1 0.5000 0.5000 0.0000
# - D(E_F) (states/eV/f.u.) = 2.185
# - DFT total energy (eV/atom) = -3.889